--- A ---
Density functional theory data (PBE) for an optimized crystal structure of LuPa2Mo.

Summary:
size of the total moment: 0.00 μB per cell

abc: 3.3833 3.3833 8.4386
angles: 90.00 90.00 90.00
Last column: nearest neighbours and their distance in Å.
Element x y z (fractional)
Pa (0.0000, 0.0000, 0.2093)  4 Mo 2.97
Pa (0.0000, 0.0000, 0.7907)  4 Mo 2.97
Mo (0.5000, 0.5000, 0.0000)  8 Pa 2.97
Lu (0.5000, 0.5000, 0.5000)  4 Lu 3.38, 8 Pa 3.43

=====

--- B ---
Density functional theory data (PBE) for an optimized crystal structure of LuPa2Mo.

Summary:
size of the total moment: 0.00 μB per cell

abc: 3.6775 3.6775 9.0925
angles: 78.33 78.33 60.00
Last column: nearest neighbours and their distance in Å.
Element x y z (fractional)
Mo (0.0000, 0.0000, 0.0000)  6 Pa 2.75
Pa (0.2676, 0.2676, 0.1973)  3 Mo 2.75
Pa (0.7324, 0.7324, 0.8027)  3 Mo 2.75
Lu (0.5000, 0.5000, 0.5000)  6 Pa 3.42, 6 Lu 3.68

=====

Most stable: A